Density functional theory data (PBE) for crystalline YMgCu2 at its relaxed geometry.

Raw total energy ... -4.1065 eV per atom
ΔE_f ... -4.22 kJ/mol of atoms
Magnetic moment ... 0.000 μB per cell
Calculated density ... 5.3 Mg/m³

abc: 3.3850 4.7586 9.4141
angles: 90.00 90.00 90.00
Space group Imm2 (No. 44)
Inequivalent atoms, fractional coordinates:
1 Y 0.0000 0.0000 0.0000 [2 per cell]
2 Mg 0.0000 0.5000 0.2122 [2 per cell]
3 Cu 0.0000 0.0000 0.4560 [2 per cell]
4 Cu 0.0000 0.5000 0.7638 [2 per cell]



Density functional theory data (PBE) for crystalline Li2ZrCl at its relaxed geometry.

Raw total energy ... -4.0641 eV per atom
Magnetic moment ... 0.000 μB per cell
Calculated density ... 3.1 Mg/m³
E_form (uncorrected) ... -0.51 eV/atom

abc: 3.0094 3.0248 8.3735
angles: 90.00 90.08 90.00
Space group P2/m (No. 10)
Inequivalent atoms, fractional coordinates:
1 Li 0.0031 0.0000 0.3214 [2 per cell]
2 Zr 0.5000 0.5000 0.0000 [1 per cell]
3 Cl 0.5000 0.5000 0.5000 [1 per cell]



Density functional theory data (PBE) for crystalline Ce5PuHgGe2 at its relaxed geometry.

Raw total energy ... -6.3247 eV per atom
ΔE_f ... -36.28 kJ/mol of atoms
Magnetic moment ... 38.916 μB per cell
Calculated density ... 9.3 Mg/m³

abc: 7.6906 7.6906 15.5796
angles: 90.00 90.00 90.00
Space group I4/mcm (No. 140)
Inequivalent atoms, fractional coordinates:
1 Ce 0.0000 0.0000 0.0000 [4 per cell]
2 Ce 0.1792 0.3208 0.1345 [16 per cell]
3 Pu 0.0000 0.5000 0.2500 [4 per cell]
4 Hg 0.0000 0.0000 0.2500 [4 per cell]
5 Ge 0.1222 0.3778 0.5000 [8 per cell]



Density functional theory data (PBE) for crystalline BeTlRh2 at its relaxed geometry.

Raw total energy ... -5.1730 eV per atom
ΔE_f ... 2.49 kJ/mol of atoms
Magnetic moment ... 0.000 μB per cell
Calculated density ... 11.4 Mg/m³

abc: 2.9365 3.4748 6.1767
angles: 90.00 103.68 90.00
Space group Pm (No. 6)
Inequivalent atoms, fractional coordinates:
1 Be 0.0000 0.0000 0.0000 [1 per cell]
2 Tl 0.8237 0.5000 0.6454 [1 per cell]
3 Rh 0.1866 0.0000 0.3697 [1 per cell]
4 Rh 0.5349 0.5000 0.0694 [1 per cell]



Density functional theory data (PBE) for crystalline Y3HPb at its relaxed geometry.

Raw total energy ... -5.6726 eV per atom
Magnetic moment ... 0.661 μB per cell
Calculated density ... 6.9 Mg/m³

abc: 4.8645 4.8645 4.8645
angles: 90.00 90.00 90.00
Space group Pm-3m (No. 221)
Inequivalent atoms, fractional coordinates:
1 Y 0.0000 0.0000 0.5000 [3 per cell]
2 H 0.0000 0.0000 0.0000 [1 per cell]
3 Pb 0.5000 0.5000 0.5000 [1 per cell]



Density functional theory data (PBE) for crystalline NbPbW3 at its relaxed geometry.

Raw total energy ... -8.3437 eV per atom
ΔE_f ... 210.71 kJ/mol of atoms
Magnetic moment ... 0.000 μB per cell
Calculated density ... 12.3 Mg/m³

abc: 4.8666 4.8666 4.8666
angles: 90.00 90.00 90.00
Space group Pm-3m (No. 221)
Inequivalent atoms, fractional coordinates:
1 Nb 0.0000 0.0000 0.0000 [1 per cell]
2 Pb 0.5000 0.5000 0.5000 [1 per cell]
3 W 0.0000 0.0000 0.5000 [3 per cell]



Density functional theory data (PBE) for crystalline PbBr at its relaxed geometry.

Raw total energy ... -3.1443 eV per atom
Magnetic moment ... 0.000 μB per cell
Calculated density ... 7.9 Mg/m³
E_form (uncorrected) ... -0.45 eV/atom

abc: 3.7621 3.7621 9.8605
angles: 90.00 90.00 120.00
Space group P6_3/mmc (No. 194)
Inequivalent atoms, fractional coordinates:
1 Pb 0.3333 0.6667 0.2500 [2 per cell]
2 Br 0.0000 0.0000 0.0000 [2 per cell]



Density functional theory data (PBE) for crystalline AsBr2Cl at its relaxed geometry.

Raw total energy ... -2.6971 eV per atom
Magnetic moment ... 0.000 μB per cell
Calculated density ... 3.7 Mg/m³
E_form (uncorrected) ... -0.24 eV/atom

abc: 9.8122 9.8122 5.0294
angles: 90.00 90.00 90.00
Space group I-42d (No. 122)
Inequivalent atoms, fractional coordinates:
1 As 0.0000 0.0000 0.0000 [4 per cell]
2 Br 0.1031 0.7500 0.1250 [8 per cell]
3 Cl 0.0000 0.0000 0.5000 [4 per cell]